# KTe2IrO8 | Alexandria via LeMat-Bulk | PBE-GGA | relaxed
data_KTe2IrO8
_space_group_name_H-M_alt 'P -1'
_space_group_IT_number 2
_cell_length_a 4.922
_cell_length_b 5.942
_cell_length_c 7.378
_cell_angle_alpha 106.83
_cell_angle_beta 93.30
_cell_angle_gamma 91.41
loop_
_space_group_symop_operation_xyz
'x,y,z'
'-x,-y,-z'
loop_
_atom_site_label
_atom_site_type_symbol
_atom_site_fract_x
_atom_site_fract_y
_atom_site_fract_z
K1 K 0.000 0.000 0.000
Te1 Te 0.498 0.408 0.763
Ir1 Ir 0.000 0.000 0.500
O1 O 0.190 0.154 0.372
O2 O 0.241 0.726 0.428
O3 O 0.261 0.132 0.732
O4 O 0.297 0.642 0.029
# Final energy, eV per atom: -5.554
# Energy relative to the elements, uncorrected, meV/atom: -895

***

# KTeIrO6 | Alexandria via LeMat-Bulk | PBE-GGA | relaxed
data_KTeIrO6
_space_group_name_H-M_alt 'I m m a'
_space_group_IT_number 74
_space_group_name_Hall '-I 2b 2'
_cell_length_a 7.138
_cell_length_b 7.315
_cell_length_c 10.201
_cell_angle_alpha 90.00
_cell_angle_beta 90.00
_cell_angle_gamma 90.00
loop_
_atom_site_label
_atom_site_type_symbol
_atom_site_fract_x
_atom_site_fract_y
_atom_site_fract_z
K1 K 0.000 0.250 0.126
Te1 Te 0.000 0.000 0.500
Ir1 Ir 0.250 0.250 0.750
O1 O 0.000 0.250 0.426
O2 O 0.000 0.250 0.817
O3 O 0.203 0.047 0.624
# Final energy, eV per atom: -5.797
# Energy relative to the elements, uncorrected, meV/atom: -1036

***

# KThIr2O8 | Alexandria via LeMat-Bulk | PBE-GGA | relaxed
data_KThIr2O8
_space_group_name_H-M_alt 'P -3'
_space_group_IT_number 147
_cell_length_a 5.9621
_cell_length_b 5.9621
_cell_length_c 7.8194
_cell_angle_alpha 90.00
_cell_angle_beta 90.00
_cell_angle_gamma 120.00
loop_
_space_group_symop_operation_xyz
'x,y,z'
'-x,-y,-z'
'-y,x-y,z'
'y,-x+y,-z'
'-x+y,-x,z'
'x-y,x,-z'
loop_
_atom_site_label
_atom_site_type_symbol
_atom_site_fract_x
_atom_site_fract_y
_atom_site_fract_z
K1 K 0.0000 0.0000 0.0000
Th1 Th 0.0000 0.0000 0.5000
Ir1 Ir 0.3333 0.6667 0.7908
O1 O 0.1705 0.3427 0.6835
O2 O 0.3333 0.6667 0.0167
# Final energy, eV per atom: -6.789
# Energy relative to the elements, uncorrected, meV/atom: -1296

***

# K2ThIr3O12 | Alexandria via LeMat-Bulk | PBE-GGA | relaxed
data_K2ThIr3O12
_space_group_name_H-M_alt 'R -3 m'
_space_group_IT_number 166
_space_group_name_Hall '-R 3 2"'
_cell_length_a 7.4357
_cell_length_b 7.4357
_cell_length_c 15.8073
_cell_angle_alpha 90.00
_cell_angle_beta 90.00
_cell_angle_gamma 120.00
loop_
_atom_site_label
_atom_site_type_symbol
_atom_site_fract_x
_atom_site_fract_y
_atom_site_fract_z
K1 K 0.0000 0.0000 0.1043
Th1 Th 0.0000 0.0000 0.5000
Ir1 Ir 0.0000 0.5000 0.0000
O1 O 0.0251 0.5125 0.8814
O2 O 0.0758 0.5379 0.3140
# Final energy, eV per atom: -6.587
# Energy relative to the elements, uncorrected, meV/atom: -1270

***

# KTi2IrO8 | Alexandria via LeMat-Bulk | PBE-GGA | relaxed
data_KTi2IrO8
_space_group_name_H-M_alt 'P -1'
_space_group_IT_number 2
_cell_length_a 5.153
_cell_length_b 5.167
_cell_length_c 7.152
_cell_angle_alpha 77.62
_cell_angle_beta 77.57
_cell_angle_gamma 72.62
loop_
_space_group_symop_operation_xyz
'x,y,z'
'-x,-y,-z'
loop_
_atom_site_label
_atom_site_type_symbol
_atom_site_fract_x
_atom_site_fract_y
_atom_site_fract_z
K1 K 0.000 0.000 0.000
Ti1 Ti 0.465 0.463 0.208
Ir1 Ir 0.000 0.000 0.500
O1 O 0.208 0.746 0.317
O2 O 0.234 0.767 0.689
O3 O 0.243 0.204 0.409
O4 O 0.359 0.340 0.013
# Final energy, eV per atom: -7.283
# Energy relative to the elements, uncorrected, meV/atom: -1832

***

# K2TiIr3O12 | Alexandria via LeMat-Bulk | PBE-GGA | relaxed
data_K2TiIr3O12
_space_group_name_H-M_alt 'R -3 m'
_space_group_IT_number 166
_space_group_name_Hall '-R 3 2"'
_cell_length_a 7.2050
_cell_length_b 7.2050
_cell_length_c 17.8426
_cell_angle_alpha 90.00
_cell_angle_beta 90.00
_cell_angle_gamma 120.00
loop_
_atom_site_label
_atom_site_type_symbol
_atom_site_fract_x
_atom_site_fract_y
_atom_site_fract_z
K1 K 0.0000 0.0000 0.1189
Ti1 Ti 0.0000 0.0000 0.5000
Ir1 Ir 0.0000 0.5000 0.0000
O1 O 0.0681 0.5341 0.3567
O2 O 0.0803 0.5402 0.1029
# Final energy, eV per atom: -6.557
# Energy relative to the elements, uncorrected, meV/atom: -1214

***

# KTiIrO6 | Alexandria via LeMat-Bulk | PBE-GGA | relaxed
data_KTiIrO6
_space_group_name_H-M_alt 'P 3 1 2'
_space_group_IT_number 149
_cell_length_a 5.2308
_cell_length_b 5.2308
_cell_length_c 6.0199
_cell_angle_alpha 90.00
_cell_angle_beta 90.00
_cell_angle_gamma 120.00
loop_
_space_group_symop_operation_xyz
'x,y,z'
'-y,x-y,z'
'-x+y,-x,z'
'-y,-x,-z'
'-x+y,y,-z'
'x,x-y,-z'
loop_
_atom_site_label
_atom_site_type_symbol
_atom_site_fract_x
_atom_site_fract_y
_atom_site_fract_z
K1 K 0.0000 0.0000 0.0000
Ti1 Ti 0.3333 0.6667 0.5000
Ir1 Ir 0.6667 0.3333 0.5000
O1 O 0.3939 0.0078 0.6804
# Final energy, eV per atom: -6.824
# Energy relative to the elements, uncorrected, meV/atom: -1535

***

# K3Tl3IrO8 | Alexandria via LeMat-Bulk | PBE-GGA | relaxed
data_K3Tl3IrO8
_space_group_name_H-M_alt 'C 1 2/m 1'
_space_group_IT_number 12
_cell_length_a 11.973
_cell_length_b 6.904
_cell_length_c 7.381
_cell_angle_alpha 90.00
_cell_angle_beta 122.65
_cell_angle_gamma 90.00
loop_
_space_group_symop_operation_xyz
'x,y,z'
'-x,-y,-z'
'-x,y,-z'
'x,-y,z'
'x+1/2,y+1/2,z'
'-x+1/2,-y+1/2,-z'
'-x+1/2,y+1/2,-z'
'x+1/2,-y+1/2,z'
loop_
_atom_site_label
_atom_site_type_symbol
_atom_site_fract_x
_atom_site_fract_y
_atom_site_fract_z
K1 K 0.000 0.000 0.000
K2 K 0.250 0.250 0.000
Tl1 Tl 0.000 0.500 0.500
Tl2 Tl 0.250 0.250 0.500
Ir1 Ir 0.000 0.000 0.500
O1 O 0.013 0.213 0.326
O2 O 0.199 0.000 0.674
O3 O 0.233 0.500 0.698
# Final energy, eV per atom: -4.957
# Energy relative to the elements, uncorrected, meV/atom: -1029

***

# KTl2IrO | Alexandria via LeMat-Bulk | PBE-GGA | relaxed
data_KTl2IrO
_space_group_name_H-M_alt 'P 4/m m m'
_space_group_IT_number 123
_space_group_name_Hall '-P 4 2'
_cell_length_a 6.101
_cell_length_b 6.101
_cell_length_c 3.698
_cell_angle_alpha 90.00
_cell_angle_beta 90.00
_cell_angle_gamma 90.00
loop_
_atom_site_label
_atom_site_type_symbol
_atom_site_fract_x
_atom_site_fract_y
_atom_site_fract_z
K1 K 0.000 0.000 0.000
Tl1 Tl 0.000 0.500 0.500
Ir1 Ir 0.500 0.500 0.500
O1 O 0.500 0.500 0.000
# Final energy, eV per atom: -4.000
# Energy relative to the elements, uncorrected, meV/atom: -70

***

# K2Tl2IrO6 | Alexandria via LeMat-Bulk | PBE-GGA | relaxed
data_K2Tl2IrO6
_space_group_name_H-M_alt 'C 1 2/m 1'
_space_group_IT_number 12
_cell_length_a 6.020
_cell_length_b 10.110
_cell_length_c 6.477
_cell_angle_alpha 90.00
_cell_angle_beta 108.13
_cell_angle_gamma 90.00
loop_
_space_group_symop_operation_xyz
'x,y,z'
'-x,-y,-z'
'-x,y,-z'
'x,-y,z'
'x+1/2,y+1/2,z'
'-x+1/2,-y+1/2,-z'
'-x+1/2,y+1/2,-z'
'x+1/2,-y+1/2,z'
loop_
_atom_site_label
_atom_site_type_symbol
_atom_site_fract_x
_atom_site_fract_y
_atom_site_fract_z
K1 K 0.000 0.171 0.000
Tl1 Tl 0.000 0.337 0.500
Ir1 Ir 0.000 0.000 0.500
O1 O 0.200 0.143 0.677
O2 O 0.218 0.000 0.322
# Final energy, eV per atom: -5.165
# Energy relative to the elements, uncorrected, meV/atom: -1025